Entry 1:
{
  "formula": "TbTiTl2",
  "functional": "GGA-PBE",
  "state": "optimized geometry",
  "lattice": [[3.703, 0.000, 0.000], [0.000, 3.703, 0.000], [0.000, 0.000, 7.002]],
  "species": ["Tb", "Tl", "Tl", "Ti"],
  "frac_coords": [[0.500, 0.500, 0.500], [0.000, 0.000, 0.224], [0.000, 0.000, 0.776], [0.500, 0.500, 0.000]],
  "magmom_total_mub_per_cell": 1.1,
  "ef_mev_per_atom": -37
}

Entry 2:
{
  "formula": "Pr3Nd2Cd",
  "functional": "GGA-PBE",
  "state": "optimized geometry",
  "lattice": [[3.444, 0.000, 0.000], [0.000, 12.000, 0.000], [-1.722, -6.000, 5.089]],
  "species": ["Nd", "Nd", "Pr", "Pr", "Cd", "Pr"],
  "frac_coords": [[0.175, 0.913, 0.350], [0.825, 0.563, 0.650], [0.666, 0.657, 0.331], [0.334, 0.326, 0.669], [0.500, 0.259, 0.000], [0.000, 0.026, 0.000]],
  "magmom_total_mub_per_cell": 0.0,
  "relative_energy_mev_per_atom": 330,
  "ef_mev_per_atom": 266
}

Entry 3:
{
  "formula": "BeCoRh",
  "functional": "GGA-PBE",
  "state": "optimized geometry",
  "lattice": [[2.732, 0.000, 0.000], [0.000, 6.523, 0.000], [0.000, -3.262, 5.649]],
  "species": ["Rh", "Rh", "Co", "Be", "Co", "Rh", "Co", "Be", "Be"],
  "frac_coords": [[0.500, 0.718, 0.718], [0.500, 0.000, 0.282], [0.000, 0.383, 0.383], [0.500, 0.667, 0.333], [0.000, 0.617, 0.000], [0.500, 0.282, 0.000], [0.000, 0.000, 0.617], [0.500, 0.333, 0.667], [0.000, 0.000, 0.000]],
  "magmom_total_mub_per_cell": 6.7,
  "relative_energy_mev_per_atom": 64,
  "ef_mev_per_atom": -190
}